A plane-wave DFT calculation with GGA-PBE was carried out for a relaxed structure of TlCu2As2.

Results
Its total moment is 0.000 μB/f.u. The formation energy is 0.175 eV/atom.

CIF file:
```
data_TlCu2As2
_chemical_formula_sum 'Tl2 Cu4 As4'
_cell_length_a 4.053
_cell_length_b 4.053
_cell_length_c 11.547
_cell_angle_alpha 90.00
_cell_angle_beta 90.00
_cell_angle_gamma 90.00
_space_group_name_H-M_alt 'I 4/m m m'
_space_group_IT_number 139
_space_group_name_Hall '-I 4 2'
loop_
_atom_site_label
_atom_site_type_symbol
_atom_site_fract_x
_atom_site_fract_y
_atom_site_fract_z
Tl1 Tl 0.000 0.000 0.000
Cu1 Cu 0.000 0.000 0.389
As1 As 0.000 0.500 0.250
```